Run a
First-principles (PBE-GGA) data for crystalline BaSrCa2Cu at its relaxed geometry, as listed in the Alexandria database.

Computed properties:
Total magnetic moment, μB per cell: 0.0

```
BaSrCa2Cu
1.0
5.893 0.000 0.000
0.000 5.893 0.000
0.000 0.000 6.203
Ba Ca Sr Cu
1 2 1 1
Direct
0.000 0.000 0.500
0.500 0.000 0.000
0.000 0.500 0.000
0.500 0.500 0.500
0.000 0.000 0.000
```

***

Run b
First-principles (PBE-GGA) data for crystalline BaSrCa2Cu at its relaxed geometry, as listed in the Alexandria database.

Computed properties:
Total magnetic moment, μB per cell: 0.0

```
BaSrCa2Cu
1.0
-0.419 4.636 3.617
-3.775 -2.992 3.398
4.647 -2.139 3.280
Sr Cu Ca Ba
1 1 2 1
Direct
0.000 0.000 0.500
0.000 0.000 0.000
0.000 0.500 0.000
0.500 0.000 0.000
0.500 0.500 0.500
```

***

Of them, the most stable is run b and the least stable is run a.

***

Run a
First-principles (PBE-GGA) data for crystalline BaCa2Dy at its relaxed geometry, as listed in the Alexandria database.

Computed properties:
Total magnetic moment, μB per cell: 0.4

```
BaCa2Dy
1.0
-0.783 3.783 -0.392
-1.778 1.922 2.867
10.625 4.814 5.992
Ca Ba Dy
2 1 1
Direct
0.743 0.743 0.770
0.257 0.257 0.230
0.500 0.500 0.500
0.000 0.000 0.000
```

***

Run b
First-principles (PBE-GGA) data for crystalline BaCa2Dy at its relaxed geometry, as listed in the Alexandria database.

Computed properties:
Total magnetic moment, μB per cell: 0.0

```
BaCa2Dy
1.0
-0.647 -0.548 4.215
-1.356 -6.008 -0.989
6.016 -1.479 0.731
Ca Dy Ba
2 1 1
Direct
0.000 0.000 0.500
0.000 0.500 0.000
0.500 0.500 0.500
0.500 0.000 0.000
```

***

Of them, the most stable is run a and the least stable is run b.

***

Run a
First-principles (PBE-GGA) data for crystalline Ba2CaEr at its relaxed geometry, as listed in the Alexandria database.

Computed properties:
Total magnetic moment, μB per cell: 0.0

```
Ba2CaEr
1.0
-3.352 -1.006 -2.667
0.943 -4.276 0.428
-5.984 -0.546 7.728
Er Ba Ca
1 2 1
Direct
0.500 0.500 0.000
0.000 0.000 0.772
0.000 0.000 0.228
0.500 0.500 0.500
```

***

Run b
First-principles (PBE-GGA) data for crystalline Ba2CaEr at its relaxed geometry, as listed in the Alexandria database.

Computed properties:
Total magnetic moment, μB per cell: 0.0

```
Ba2CaEr
1.0
-2.693 2.745 -0.197
-2.576 0.377 2.837
6.886 9.998 7.539
Ba Ca Er
2 1 1
Direct
0.084 0.084 0.749
0.916 0.916 0.251
0.500 0.500 0.500
0.000 0.000 0.000
```

***

Of them, the most stable is run a and the least stable is run b.

***

Run a
First-principles (PBE-GGA) data for crystalline BaCaF3 at its relaxed geometry, as listed in the Alexandria database.

Computed properties:
Total magnetic moment, μB per cell: 0.6

```
BaCaF3
1.0
4.602 0.000 0.000
0.000 4.602 0.000
0.000 0.000 4.602
Ba F Ca
1 3 1
Direct
0.500 0.500 0.500
0.000 0.000 0.500
0.500 0.000 0.000
0.000 0.500 0.000
0.000 0.000 0.000
```

***

Run b
First-principles (PBE-GGA) data for crystalline BaCaF3 at its relaxed geometry, as listed in the Alexandria database.

Computed properties:
Total magnetic moment, μB per cell: 0.0

```
BaCaF3
1.0
5.088 0.000 0.000
0.000 5.088 0.000
0.000 0.000 5.088
F Ca Ba
3 1 1
Direct
0.500 0.000 0.000
0.000 0.500 0.000
0.000 0.000 0.500
0.500 0.500 0.500
0.000 0.000 0.000
```

***

Of them, the most stable is run a and the least stable is run b.

***

Run a
First-principles (PBE-GGA) data for crystalline BaCa2F at its relaxed geometry, as listed in the Alexandria database.

Computed properties:
Total magnetic moment, μB per cell: 0.3

```
BaCa2F
1.0
0.000 4.383 4.383
4.383 0.000 4.383
4.383 4.383 0.000
Ca F Ba
2 1 1
Direct
0.250 0.250 0.250
0.750 0.750 0.750
0.000 0.000 0.000
0.500 0.500 0.500
```

***

Run b
First-principles (PBE-GGA) data for crystalline BaCa2F at its relaxed geometry, as listed in the Alexandria database.

Computed properties:
Total magnetic moment, μB per cell: 1.0

```
BaCa2F
1.0
-1.125 1.325 -3.431
-2.999 -1.608 -1.794
-7.797 6.634 2.962
Ba F Ca
1 1 2
Direct
0.000 0.000 0.000
0.500 0.500 0.500
0.118 0.118 0.646
0.882 0.882 0.354
```

***

Run c
First-principles (PBE-GGA) data for crystalline BaCa2F at its relaxed geometry, as listed in the Alexandria database.

Computed properties:
Total magnetic moment, μB per cell: 0.0

```
BaCa2F
1.0
7.600 0.000 0.000
0.000 7.600 0.000
3.800 3.800 5.379
F Ca Ba
2 4 2
Direct
0.250 0.750 0.500
0.500 0.500 0.000
0.875 0.625 0.750
0.375 0.625 0.250
0.375 0.625 0.750
0.375 0.125 0.250
0.750 0.250 0.500
0.000 0.000 0.000
```

***

Of them, the most stable is run c and the least stable is run a.

***

Run a
First-principles (PBE-GGA) data for crystalline BaCa2F7 at its relaxed geometry, as listed in the Alexandria database.

Computed properties:
Total magnetic moment, μB per cell: 1.1

```
BaCa2F7
1.0
-0.922 -1.278 -3.962
6.431 0.504 -1.660
-1.931 -5.922 2.361
F Ba Ca
7 1 2
Direct
0.000 0.753 0.247
0.500 0.681 0.929
0.500 0.500 0.500
0.500 0.319 0.071
0.000 0.247 0.753
0.500 0.071 0.319
0.500 0.929 0.681
0.000 0.000 0.000
0.500 0.298 0.702
0.500 0.702 0.298
```

***

Run b
First-principles (PBE-GGA) data for crystalline BaCa2F7 at its relaxed geometry, as listed in the Alexandria database.

Computed properties:
Total magnetic moment, μB per cell: 1.1

```
BaCa2F7
1.0
3.968 0.000 -0.764
-0.147 3.966 -0.764
-0.235 -0.243 9.474
F Ba Ca
7 1 2
Direct
0.250 0.750 0.500
0.394 0.894 0.787
0.750 0.250 0.500
0.500 0.500 0.000
0.894 0.394 0.787
0.106 0.606 0.213
0.606 0.106 0.213
0.000 0.000 0.000
0.673 0.673 0.345
0.327 0.327 0.655
```

***

Of them, the most stable is run b and the least stable is run a.

***

Run a
First-principles (PBE-GGA) data for crystalline BaCaN2F at its relaxed geometry, as listed in the Alexandria database.

Computed properties:
Total magnetic moment, μB per cell: 1.0

```
BaCaN2F
1.0
-0.932 2.198 -4.025
-2.459 -3.707 -1.454
-4.046 1.908 1.979
Ca N F Ba
1 2 1 1
Direct
0.500 0.500 0.500
0.000 0.500 0.000
0.500 0.000 0.000
0.000 0.000 0.500
0.000 0.000 0.000
```

***

Run b
First-principles (PBE-GGA) data for crystalline BaCaN2F at its relaxed geometry, as listed in the Alexandria database.

Computed properties:
Total magnetic moment, μB per cell: 3.0

```
BaCaN2F
1.0
-0.479 -2.841 -3.669
2.349 -3.329 2.272
-3.757 -1.515 1.664
N Ca F Ba
2 1 1 1
Direct
0.500 0.000 0.000
0.000 0.500 0.000
0.000 0.000 0.000
0.000 0.000 0.500
0.500 0.500 0.500
```

***

Of them, the most stable is run b and the least stable is run a.

***

Run a
First-principles (PBE-GGA) data for crystalline BaCaOF2 at its relaxed geometry, as listed in the Alexandria database.

Computed properties:
Total magnetic moment, μB per cell: 0.0

```
BaCaOF2
1.0
-2.031 3.798 0.757
-2.472 -0.613 -3.555
-3.139 -2.189 2.559
F Ba Ca O
2 1 1 1
Direct
0.500 0.000 0.000
0.000 0.500 0.000
0.500 0.500 0.500
0.000 0.000 0.000
0.000 0.000 0.500
```

***

Run b
First-principles (PBE-GGA) data for crystalline BaCaOF2 at its relaxed geometry, as listed in the Alexandria database.

Computed properties:
Total magnetic moment, μB per cell: 0.0

```
BaCaOF2
1.0
-4.624 -1.048 -1.040
1.147 -4.703 -0.359
-1.000 -0.632 5.085
F Ca Ba O
2 1 1 1
Direct
0.000 0.500 0.000
0.500 0.000 0.000
0.500 0.500 0.500
0.000 0.000 0.000
0.000 0.000 0.500
```

***

Of them, the most stable is run a and the least stable is run b.

***

Run a
First-principles (PBE-GGA) data for crystalline RbBa2CaF at its relaxed geometry, as listed in the Alexandria database.

Computed properties:
Total magnetic moment, μB per cell: 0.0

```
RbBa2CaF
1.0
-4.756 -0.482 -5.959
-0.280 -4.726 0.606
-5.962 0.953 4.681
Ba Rb Ca F
2 1 1 1
Direct
0.500 0.000 0.000
0.000 0.000 0.500
0.000 0.000 0.000
0.500 0.500 0.500
0.000 0.500 0.000
```

***

Run b
First-principles (PBE-GGA) data for crystalline RbBa2CaF at its relaxed geometry, as listed in the Alexandria database.

Computed properties:
Total magnetic moment, μB per cell: 0.0

```
RbBa2CaF
1.0
-0.054 5.642 -1.441
-1.930 1.342 5.327
6.213 0.596 2.100
Rb Ca Ba F
1 1 2 1
Direct
0.000 0.000 0.500
0.500 0.500 0.500
0.500 0.000 0.000
0.000 0.500 0.000
0.000 0.000 0.000
```

***

Of them, the most stable is run b and the least stable is run a.

***

Run a
First-principles (PBE-GGA) data for crystalline BaCaFe at its relaxed geometry, as listed in the Alexandria database.

Computed properties:
Total magnetic moment, μB per cell: 2.5

```
BaCaFe
1.0
5.459 0.000 0.000
2.729 4.727 0.000
2.729 1.576 4.457
Fe Ba Ca
1 1 1
Direct
0.500 0.500 0.500
0.750 0.750 0.750
0.000 0.000 0.000
```

***

Run b
First-principles (PBE-GGA) data for crystalline BaCaFe at its relaxed geometry, as listed in the Alexandria database.

Computed properties:
Total magnetic moment, μB per cell: 2.1

```
BaCaFe
1.0
5.375 0.000 0.000
2.687 4.655 0.000
2.687 1.552 4.388
Fe Ba Ca
1 1 1
Direct
0.750 0.750 0.750
0.000 0.000 0.000
0.500 0.500 0.500
```

***

Of them, the most stable is run b and the least stable is run a.

***

Run a
First-principles (PBE-GGA) data for crystalline BaCaFe at its relaxed geometry, as listed in the Alexandria database.

Computed properties:
Total magnetic moment, μB per cell: 2.1

```
BaCaFe
1.0
7.527 0.042 0.002
5.581 5.048 0.002
-6.553 -2.545 2.684
Fe Ba Ca
1 1 1
Direct
0.677 0.677 0.000
0.032 0.032 0.000
0.291 0.291 0.000
```

***

Run b
First-principles (PBE-GGA) data for crystalline BaCaFe at its relaxed geometry, as listed in the Alexandria database.

Computed properties:
Total magnetic moment, μB per cell: 2.0

```
BaCaFe
1.0
-2.174 -0.430 -3.421
-0.746 -2.405 3.205
-5.066 5.020 2.588
Ca Ba Fe
1 1 1
Direct
0.333 0.667 0.415
0.000 0.000 0.928
0.667 0.333 0.656
```

***

Of them, the most stable is run a and the least stable is run b.

***

Run a
First-principles (PBE-GGA) data for crystalline BaCaFe3 at its relaxed geometry, as listed in the Alexandria database.

Computed properties:
Total magnetic moment, μB per cell: 8.4

```
BaCaFe3
1.0
5.204 0.000 0.000
0.000 5.204 0.000
0.000 0.000 5.204
Fe Ca Ba
3 1 1
Direct
0.000 0.000 0.500
0.000 0.500 0.000
0.500 0.000 0.000
0.500 0.500 0.500
0.000 0.000 0.000
```

***

Run b
First-principles (PBE-GGA) data for crystalline BaCaFe3 at its relaxed geometry, as listed in the Alexandria database.

Computed properties:
Total magnetic moment, μB per cell: 8.2

```
BaCaFe3
1.0
5.164 0.000 0.000
0.000 5.164 0.000
0.000 0.000 5.164
Ba Fe Ca
1 3 1
Direct
0.500 0.500 0.500
0.000 0.500 0.000
0.000 0.000 0.500
0.500 0.000 0.000
0.000 0.000 0.000
```

***

Of them, the most stable is run b and the least stable is run a.